1.
# GGA-PBE AlFePd3, optimized geometry
# Energy ... -4.93 eV per atom
# Calculated formation energy ... 0.622 eV per atom
# Size of the total moment ... 0.8087 μB per atom
# Density of states at the Fermi level ... 4.7 states/eV/cell
data_AlFePd3
_chemical_formula_sum 'Al1 Fe1 Pd3'
_symmetry_space_group_name_H-M 'P m -3 m'
_symmetry_Int_Tables_number 221
_symmetry_space_group_name_Hall '-P 4 2 3'
_cell_length_a 4.593
_cell_length_b 4.593
_cell_length_c 4.593
_cell_angle_alpha 90.00
_cell_angle_beta 90.00
_cell_angle_gamma 90.00
loop_
_atom_site_label
_atom_site_fract_x
_atom_site_fract_y
_atom_site_fract_z
Al1 0.000 0.000 0.000
Fe1 0.500 0.500 0.500
Pd1 0.000 0.500 0.500

***

2.
# GGA-PBE AlFePd6, optimized geometry
# Energy ... -5.77 eV per atom
# Calculated formation energy ... -0.352 eV per atom
# Size of the total moment ... 0.5633 μB per atom
# Density of states at the Fermi level ... 14.7 states/eV/cell
data_AlFePd6
_chemical_formula_sum 'Al2 Fe2 Pd12'
_symmetry_space_group_name_H-M 'C m m m'
_symmetry_Int_Tables_number 65
_symmetry_space_group_name_Hall '-C 2 2'
_cell_length_a 7.703
_cell_length_b 7.861
_cell_length_c 3.913
_cell_angle_alpha 90.00
_cell_angle_beta 90.00
_cell_angle_gamma 90.00
loop_
_atom_site_label
_atom_site_fract_x
_atom_site_fract_y
_atom_site_fract_z
Al1 0.000 0.000 0.000
Fe1 0.000 0.500 0.000
Pd1 0.000 0.264 0.500
Pd2 0.236 0.000 0.500
Pd3 0.250 0.250 0.000

***

3.
# GGA-PBE AlFe3Pd6, optimized geometry
# Energy ... -6.29 eV per atom
# Calculated formation energy ... -0.262 eV per atom
# Size of the total moment ... 1.0595 μB per atom
# Density of states at the Fermi level ... 13.8 states/eV/cell
data_AlFe3Pd6
_chemical_formula_sum 'Al2 Fe6 Pd12'
_symmetry_space_group_name_H-M 'P 1 21/m 1'
_symmetry_Int_Tables_number 11
_cell_length_a 8.441
_cell_length_b 3.901
_cell_length_c 8.746
_cell_angle_alpha 90.00
_cell_angle_beta 92.97
_cell_angle_gamma 90.00
loop_
_symmetry_equiv_pos_as_xyz
'x,y,z'
'-x,-y,-z'
'-x,y+1/2,-z'
'x,-y+1/2,z'
loop_
_atom_site_label
_atom_site_fract_x
_atom_site_fract_y
_atom_site_fract_z
Al1 0.064 0.250 0.383
Fe1 0.251 0.250 0.998
Fe2 0.345 0.750 0.795
Fe3 0.444 0.250 0.603
Pd1 0.058 0.750 0.898
Pd2 0.142 0.250 0.690
Pd3 0.158 0.750 0.194
Pd4 0.246 0.750 0.499
Pd5 0.368 0.250 0.305
Pd6 0.461 0.750 0.100

***

4.
# GGA-PBE AlFePd, optimized geometry
# Energy ... -6.02 eV per atom
# Calculated formation energy ... -0.221 eV per atom
# Size of the total moment ... 0.7245 μB per atom
# Density of states at the Fermi level ... 9.0 states/eV/cell
data_AlFePd
_chemical_formula_sum 'Al4 Fe4 Pd4'
_symmetry_space_group_name_H-M 'C 1 2/m 1'
_symmetry_Int_Tables_number 12
_cell_length_a 10.094
_cell_length_b 2.726
_cell_length_c 7.266
_cell_angle_alpha 90.00
_cell_angle_beta 122.01
_cell_angle_gamma 90.00
loop_
_symmetry_equiv_pos_as_xyz
'x,y,z'
'-x,-y,-z'
'-x,y,-z'
'x,-y,z'
'x+1/2,y+1/2,z'
'-x+1/2,-y+1/2,-z'
'-x+1/2,y+1/2,-z'
'x+1/2,-y+1/2,z'
loop_
_atom_site_label
_atom_site_fract_x
_atom_site_fract_y
_atom_site_fract_z
Al1 0.138 0.000 0.305
Fe1 0.122 0.000 0.652
Pd1 0.115 0.500 0.958

***

Repeat the fourth record exactly.
# GGA-PBE AlFePd, optimized geometry
# Energy ... -6.02 eV per atom
# Calculated formation energy ... -0.221 eV per atom
# Size of the total moment ... 0.7245 μB per atom
# Density of states at the Fermi level ... 9.0 states/eV/cell
data_AlFePd
_chemical_formula_sum 'Al4 Fe4 Pd4'
_symmetry_space_group_name_H-M 'C 1 2/m 1'
_symmetry_Int_Tables_number 12
_cell_length_a 10.094
_cell_length_b 2.726
_cell_length_c 7.266
_cell_angle_alpha 90.00
_cell_angle_beta 122.01
_cell_angle_gamma 90.00
loop_
_symmetry_equiv_pos_as_xyz
'x,y,z'
'-x,-y,-z'
'-x,y,-z'
'x,-y,z'
'x+1/2,y+1/2,z'
'-x+1/2,-y+1/2,-z'
'-x+1/2,y+1/2,-z'
'x+1/2,-y+1/2,z'
loop_
_atom_site_label
_atom_site_fract_x
_atom_site_fract_y
_atom_site_fract_z
Al1 0.138 0.000 0.305
Fe1 0.122 0.000 0.652
Pd1 0.115 0.500 0.958